7
Lattice="5.285 0.000 0.000 0.000 5.285 0.000 0.000 0.000 5.285" Properties=species:S:1:pos:R:3 comment="TbNi6, relaxed, DFT PBE-GGA" de_polymorph_mev_per_atom=1098.7 e_form_ev_per_atom=0.895 magnetic_moment_mub_per_cell=4.37 pbc="T T T"
Ni 2.643 4.246 2.643
Ni 2.643 2.643 1.039
Ni 4.246 2.643 2.643
Ni 2.643 1.039 2.643
Ni 1.039 2.643 2.643
Ni 2.643 2.643 4.246
Tb 0.000 0.000 0.000